DFT (SCAN) results for a PBEsol-optimized structure of Sr3TaAs.

Lattice parameters (Å, degrees): 5.6096 5.6096 5.6096 90.00 90.00 90.00
Closest atoms and distances in Å follow each position.
Fractional positions:
1 Ta 0.0000 0.0000 0.0000  6 Sr 2.80
2 Sr 0.0000 0.0000 0.5000  2 Ta 2.80
3 Sr 0.5000 0.0000 0.0000  2 Ta 2.80
4 As 0.5000 0.5000 0.5000  12 Sr 3.97
5 Sr 0.0000 0.5000 0.0000  2 Ta 2.80

Values from the calculation:
M_tot: 0.0 μB per formula unit
E_tot: -29.71 eV per atom
calculated formation energy: 23.4 kcal/mol of atoms
space-group type: No. 221